Record 1
Computed, not measured: a relaxed structure of Dy2ErBi2 at the GGA-PBE level of DFT.

Results
**Space-group type**: No. 2
**Magnetic moment**: 0.0 μB per formula unit
**D(E_F)**: 1.01 states/eV/atom
**Calculated density**: 9.39 g/cm3
**Calculated formation energy**: -565 meV per atom

a b c (Å): 4.333 8.718 9.058
angles (deg): 103.92 103.83 90.00
Element x y z (fractional)
Dy  0.000  0.249  0.000
Dy  0.000  0.751  0.000
Dy  0.320  0.660  0.639
Dy  0.680  0.340  0.361
Er  0.320  0.160  0.639
Er  0.680  0.840  0.361
Bi  0.134  0.569  0.269
Bi  0.135  0.066  0.271
Bi  0.865  0.934  0.729
Bi  0.866  0.431  0.731

Record 2
Computed, not measured: a relaxed structure of Dy2ErBi at the GGA-PBE level of DFT.

Results
**Space-group type**: No. 123
**Magnetic moment**: 0.0 μB per formula unit
**D(E_F)**: 1.03 states/eV/atom
**Calculated density**: 9.83 g/cm3
**Calculated formation energy**: -352 meV per atom
**Relative energy among the computed polymorphs**: 41.7 meV/atom

a b c (Å): 4.195 4.195 6.734
angles (deg): 90.00 90.00 90.00
Element x y z (fractional)
Dy  0.000  0.000  0.241
Dy  0.000  0.000  0.759
Er  0.500  0.500  0.500
Bi  0.500  0.500  0.000

Record 3
Computed, not measured: a relaxed structure of Dy2ErBi at the GGA-PBE level of DFT.

Results
**Space-group type**: No. 166
**Magnetic moment**: 0.0 μB per formula unit
**D(E_F)**: 1.09 states/eV/atom
**Calculated density**: 9.03 g/cm3
**Calculated formation energy**: 20 meV per atom
**Relative energy among the computed polymorphs**: 413.9 meV/atom

a b c (Å): 12.157 12.157 12.157
angles (deg): 16.67 16.67 16.67
Element x y z (fractional)
Dy  0.088  0.088  0.088
Dy  0.912  0.912  0.912
Er  0.500  0.500  0.500
Bi  0.000  0.000  0.000

Record 4
Computed, not measured: a relaxed structure of Dy3ErBi4 at the GGA-PBE level of DFT.

Results
**Space-group type**: No. 65
**Magnetic moment**: 0.0 μB per formula unit
**D(E_F)**: 0.16 states/eV/atom
**Calculated density**: 9.83 g/cm3
**Calculated formation energy**: -847 meV per atom
**Relative energy among the computed polymorphs**: 5.7 meV/atom

a b c (Å): 7.733 7.733 4.468
angles (deg): 90.00 90.00 109.47
Element x y z (fractional)
Dy  0.000  0.000  0.000
Dy  0.000  0.500  0.500
Dy  0.500  0.000  0.500
Er  0.500  0.500  0.000
Bi  0.251  0.251  0.500
Bi  0.251  0.749  0.000
Bi  0.749  0.251  0.000
Bi  0.749  0.749  0.500

Record 5
Computed, not measured: a relaxed structure of Dy5Er5Bi6 at the GGA-PBE level of DFT.

Results
**Space-group type**: No. 38
**Magnetic moment**: 0.4 μB per formula unit
**D(E_F)**: 1.00 states/eV/atom
**Calculated density**: 10.50 g/cm3
**Calculated formation energy**: -660 meV per atom

a b c (Å): 6.343 9.150 9.150
angles (deg): 120.13 90.00 90.00
Element x y z (fractional)
Dy  0.000  0.000  0.000
Dy  0.250  0.091  0.424
Dy  0.250  0.424  0.091
Dy  0.750  0.091  0.424
Dy  0.750  0.424  0.091
Er  0.000  0.515  0.758
Er  0.000  0.758  0.515
Er  0.500  0.001  0.758
Er  0.500  0.517  0.517
Er  0.500  0.758  0.001
Bi  0.000  0.147  0.757
Bi  0.000  0.370  0.370
Bi  0.000  0.757  0.147
Bi  0.500  0.146  0.146
Bi  0.500  0.369  0.758
Bi  0.500  0.758  0.369

Record 6
Computed, not measured: a relaxed structure of Dy3Er2Bi2 at the GGA-PBE level of DFT.

Results
**Space-group type**: No. 12
**Magnetic moment**: 0.0 μB per formula unit
**D(E_F)**: 0.81 states/eV/atom
**Calculated density**: 9.69 g/cm3
**Calculated formation energy**: -441 meV per atom

a b c (Å): 6.438 6.438 8.531
angles (deg): 106.46 106.46 39.08
Element x y z (fractional)
Dy  0.000  0.000  0.000
Dy  0.126  0.126  0.444
Dy  0.874  0.874  0.556
Er  0.380  0.380  0.235
Er  0.620  0.620  0.765
Bi  0.321  0.321  0.815
Bi  0.679  0.679  0.185

Record 7
Computed, not measured: a relaxed structure of DyEr3Bi4 at the GGA-PBE level of DFT.

Results
**Space-group type**: No. 221
**Magnetic moment**: 0.0 μB per formula unit
**D(E_F)**: 0.06 states/eV/atom
**Calculated density**: 10.01 g/cm3
**Calculated formation energy**: -829 meV per atom
**Relative energy among the computed polymorphs**: 0.0 meV/atom

a b c (Å): 6.290 6.290 6.290
angles (deg): 90.00 90.00 90.00
Element x y z (fractional)
Dy  0.000  0.000  0.000
Er  0.000  0.500  0.500
Er  0.500  0.000  0.500
Er  0.500  0.500  0.000
Bi  0.000  0.000  0.500
Bi  0.000  0.500  0.000
Bi  0.500  0.000  0.000
Bi  0.500  0.500  0.500

Record 8
Computed, not measured: a relaxed structure of DyEr2Bi4 at the GGA-PBE level of DFT.

Results
**Space-group type**: No. 63
**Magnetic moment**: 0.0 μB per formula unit
**D(E_F)**: 0.44 states/eV/atom
**Calculated density**: 10.31 g/cm3
**Calculated formation energy**: -565 meV per atom

a b c (Å): 6.071 6.071 16.974
angles (deg): 90.00 90.00 136.68
Element x y z (fractional)
Dy  0.057  0.943  0.750
Dy  0.943  0.057  0.250
Er  0.340  0.660  0.574
Er  0.340  0.660  0.926
Er  0.660  0.340  0.074
Er  0.660  0.340  0.426
Bi  0.000  0.000  0.000
Bi  0.000  0.000  0.500
Bi  0.349  0.651  0.750
Bi  0.351  0.649  0.122
Bi  0.351  0.649  0.378
Bi  0.649  0.351  0.622
Bi  0.649  0.351  0.878
Bi  0.651  0.349  0.250